Record 1
VASP calculation (PBE-GGA) on a geometry-optimized DyMgZnSi structure.

abc: 4.819 4.819 4.819
angles: 60.00 60.00 60.00
Element x y z (fractional)
Dy (0.000, 0.000, 0.000)
Mg (0.500, 0.500, 0.500)
Zn (0.250, 0.250, 0.250)
Si (0.750, 0.750, 0.750)

Properties
Density of states at the Fermi level   3.15 states/eV/cell
Symmetry   No. 216
Raw formation energy   -0.25 eV/atom
Size of the total moment   0.000 μB/cell
Total energy   -3.47 eV per atom

=====

Record 2
VASP calculation (PBE-GGA) on a geometry-optimized Sm2Dy2Mg structure.

abc: 9.272 9.272 9.272
angles: 152.58 152.58 39.16
Element x y z (fractional)
Sm (0.093, 0.093, 0.000)
Sm (0.907, 0.907, 0.000)
Dy (0.250, 0.750, 0.500)
Dy (0.750, 0.250, 0.500)
Mg (0.500, 0.500, 0.000)

Properties
Density of states at the Fermi level   6.74 states/eV/cell
Symmetry   No. 139
Size of the total moment   0.000 μB/cell
Formation energy   368 meV/atom
Total energy   -3.68 eV per atom
Energy above the most stable polymorph in this dataset   0.389 eV per atom

=====

Record 3
VASP calculation (PBE-GGA) on a geometry-optimized SmDyMg structure.

abc: 7.068 7.068 7.068
angles: 149.81 149.81 43.22
Element x y z (fractional)
Sm (0.000, 0.000, 0.000)
Dy (0.682, 0.682, 0.000)
Mg (0.338, 0.338, 0.000)

Properties
Density of states at the Fermi level   4.44 states/eV/cell
Symmetry   No. 107
Size of the total moment   0.281 μB/cell
Formation energy   -44 meV/atom
Total energy   -3.68 eV per atom
Energy above the most stable polymorph in this dataset   0.002 eV per atom

=====

Record 4
VASP calculation (PBE-GGA) on a geometry-optimized SmDy3Mg structure.

abc: 6.726 6.726 12.800
angles: 93.15 93.15 31.80
Element x y z (fractional)
Sm (0.233, 0.233, 0.259)
Sm (0.767, 0.767, 0.741)
Dy (0.037, 0.037, 0.687)
Dy (0.150, 0.150, 0.941)
Dy (0.366, 0.366, 0.524)
Dy (0.634, 0.634, 0.476)
Dy (0.850, 0.850, 0.059)
Dy (0.963, 0.963, 0.313)
Mg (0.444, 0.444, 0.876)
Mg (0.556, 0.556, 0.124)

Properties
Density of states at the Fermi level   13.31 states/eV/cell
Symmetry   No. 12
Size of the total moment   0.001 μB/cell
Formation energy   -16 meV/atom
Total energy   -4.04 eV per atom
Energy above the most stable polymorph in this dataset   0.000 eV per atom

=====

Record 5
VASP calculation (PBE-GGA) on a geometry-optimized SmDy2Mg8 structure.

abc: 8.394 8.394 7.315
angles: 107.48 107.48 35.07
Element x y z (fractional)
Sm (0.000, 0.000, 0.000)
Dy (0.279, 0.279, 0.362)
Dy (0.721, 0.721, 0.638)
Mg (0.089, 0.089, 0.467)
Mg (0.179, 0.179, 0.897)
Mg (0.358, 0.358, 0.846)
Mg (0.474, 0.474, 0.282)
Mg (0.526, 0.526, 0.718)
Mg (0.642, 0.642, 0.154)
Mg (0.821, 0.821, 0.103)
Mg (0.911, 0.911, 0.533)

Properties
Density of states at the Fermi level   6.19 states/eV/cell
Symmetry   No. 12
Size of the total moment   0.000 μB/cell
Formation energy   -42 meV/atom
Total energy   -2.47 eV per atom

=====

Record 6
VASP calculation (PBE-GGA) on a geometry-optimized SmDy2Mg5 structure.

abc: 8.461 8.461 8.461
angles: 143.72 143.72 52.25
Element x y z (fractional)
Sm (0.000, 0.000, 0.000)
Dy (0.258, 0.258, 0.000)
Dy (0.742, 0.742, 0.000)
Mg (0.121, 0.621, 0.500)
Mg (0.379, 0.879, 0.500)
Mg (0.500, 0.500, 0.000)
Mg (0.621, 0.121, 0.500)
Mg (0.879, 0.379, 0.500)

Properties
Density of states at the Fermi level   6.12 states/eV/cell
Symmetry   No. 139
Size of the total moment   0.009 μB/cell
Formation energy   -82 meV/atom
Total energy   -2.82 eV per atom

=====

Record 7
VASP calculation (PBE-GGA) on a geometry-optimized Sm3Dy8Mg structure.

abc: 9.497 3.585 11.542
angles: 90.00 104.34 90.00
Element x y z (fractional)
Sm (0.000, 0.000, 0.000)
Sm (0.215, 0.500, 0.517)
Sm (0.484, 0.500, 0.795)
Dy (0.158, 0.000, 0.768)
Dy (0.326, 0.500, 0.034)
Dy (0.547, 0.000, 0.549)
Dy (0.599, 0.500, 0.299)
Dy (0.663, 0.000, 0.055)
Dy (0.826, 0.500, 0.745)
Dy (0.887, 0.000, 0.491)
Dy (0.955, 0.500, 0.246)
Mg (0.276, 0.000, 0.273)

Properties
Density of states at the Fermi level   18.12 states/eV/cell
Symmetry   No. 6
Size of the total moment   0.000 μB/cell
Formation energy   33 meV/atom
Total energy   -4.35 eV per atom

=====

Record 8
VASP calculation (PBE-GGA) on a geometry-optimized Sm6Dy12Mg structure.

abc: 8.511 8.511 8.511
angles: 88.78 88.78 88.78
Element x y z (fractional)
Sm (0.200, 0.761, 0.594)
Sm (0.239, 0.406, 0.800)
Sm (0.406, 0.800, 0.239)
Sm (0.594, 0.200, 0.761)
Sm (0.761, 0.594, 0.200)
Sm (0.800, 0.239, 0.406)
Dy (0.039, 0.936, 0.278)
Dy (0.064, 0.722, 0.961)
Dy (0.139, 0.486, 0.311)
Dy (0.278, 0.039, 0.936)
Dy (0.311, 0.139, 0.486)
Dy (0.486, 0.311, 0.139)
Dy (0.514, 0.689, 0.861)
Dy (0.689, 0.861, 0.514)
Dy (0.722, 0.961, 0.064)
Dy (0.861, 0.514, 0.689)
Dy (0.936, 0.278, 0.039)
Dy (0.961, 0.064, 0.722)
Mg (0.500, 0.500, 0.500)

Properties
Density of states at the Fermi level   28.49 states/eV/cell
Symmetry   No. 148
Size of the total moment   0.001 μB/cell
Formation energy   129 meV/atom
Total energy   -4.35 eV per atom
Energy above the most stable polymorph in this dataset   0.000 eV per atom

=====

Record 9
VASP calculation (PBE-GGA) on a geometry-optimized SmDyMg structure.

abc: 3.446 5.441 9.540
angles: 90.00 90.18 90.00
Element x y z (fractional)
Sm (0.004, 0.000, 0.081)
Sm (0.996, 0.500, 0.919)
Dy (0.499, 0.000, 0.739)
Dy (0.501, 0.500, 0.261)
Mg (0.002, 0.501, 0.580)
Mg (0.998, 0.001, 0.420)

Properties
Density of states at the Fermi level   7.42 states/eV/cell
Symmetry   No. 4
Size of the total moment   0.000 μB/cell
Formation energy   20 meV/atom
Total energy   -3.62 eV per atom
Energy above the most stable polymorph in this dataset   0.066 eV per atom

=====

Record 10
VASP calculation (PBE-GGA) on a geometry-optimized Sm3Dy7Mg structure.

abc: 7.004 7.004 8.597
angles: 90.00 90.00 120.00
Element x y z (fractional)
Sm (0.168, 0.337, 0.000)
Sm (0.168, 0.832, 0.000)
Sm (0.663, 0.832, 0.000)
Dy (0.005, 0.503, 0.340)
Dy (0.333, 0.166, 0.664)
Dy (0.333, 0.667, 0.668)
Dy (0.497, 0.503, 0.340)
Dy (0.497, 0.995, 0.340)
Dy (0.834, 0.166, 0.664)
Dy (0.834, 0.667, 0.664)
Mg (0.000, 0.000, 0.342)

Properties
Density of states at the Fermi level   15.88 states/eV/cell
Symmetry   No. 156
Size of the total moment   0.000 μB/cell
Formation energy   185 meV/atom
Total energy   -4.18 eV per atom

=====

Record 11
VASP calculation (PBE-GGA) on a geometry-optimized Sm3Dy2Mg structure.

abc: 9.368 9.368 6.186
angles: 90.71 90.71 44.06
Element x y z (fractional)
Sm (0.132, 0.868, 0.750)
Sm (0.208, 0.458, 0.920)
Sm (0.458, 0.208, 0.420)
Sm (0.542, 0.792, 0.580)
Sm (0.792, 0.542, 0.080)
Sm (0.868, 0.132, 0.250)
Dy (0.043, 0.290, 0.586)
Dy (0.290, 0.043, 0.086)
Dy (0.710, 0.957, 0.914)
Dy (0.957, 0.710, 0.414)
Mg (0.368, 0.632, 0.250)
Mg (0.632, 0.368, 0.750)

Properties
Density of states at the Fermi level   15.62 states/eV/cell
Symmetry   No. 15
Size of the total moment   0.000 μB/cell
Formation energy   20 meV/atom
Total energy   -4.14 eV per atom
Energy above the most stable polymorph in this dataset   0.037 eV per atom

=====

Record 12
VASP calculation (PBE-GGA) on a geometry-optimized SmDy6Mg structure.

abc: 6.092 6.092 9.885
angles: 113.92 113.92 48.48
Element x y z (fractional)
Sm (0.000, 0.000, 0.000)
Dy (0.245, 0.245, 0.377)
Dy (0.250, 0.250, 0.872)
Dy (0.498, 0.498, 0.251)
Dy (0.502, 0.502, 0.749)
Dy (0.750, 0.750, 0.128)
Dy (0.755, 0.755, 0.623)
Mg (0.000, 0.000, 0.500)

Properties
Density of states at the Fermi level   12.21 states/eV/cell
Symmetry   No. 12
Size of the total moment   0.000 μB/cell
Formation energy   27 meV/atom
Total energy   -4.21 eV per atom
Energy above the most stable polymorph in this dataset   0.000 eV per atom

=====

Record 13
VASP calculation (PBE-GGA) on a geometry-optimized Sm2DyMg6 structure.

abc: 9.132 9.132 3.308
angles: 90.00 90.00 120.00
Element x y z (fractional)
Sm (0.333, 0.667, 0.000)
Sm (0.667, 0.333, 0.000)
Dy (0.000, 0.000, 0.000)
Mg (0.000, 0.331, 0.500)
Mg (0.000, 0.669, 0.500)
Mg (0.331, 0.000, 0.500)
Mg (0.331, 0.331, 0.500)
Mg (0.669, 0.000, 0.500)
Mg (0.669, 0.669, 0.500)

Properties
Density of states at the Fermi level   4.33 states/eV/cell
Symmetry   No. 191
Size of the total moment   0.000 μB/cell
Formation energy   -86 meV/atom
Total energy   -2.71 eV per atom

=====

Record 14
VASP calculation (PBE-GGA) on a geometry-optimized Sm2Dy3Mg structure.

abc: 7.901 7.901 7.901
angles: 155.83 101.24 83.85
Element x y z (fractional)
Sm (0.171, 0.000, 0.171)
Sm (0.829, 0.000, 0.829)
Dy (0.268, 0.268, 0.000)
Dy (0.586, 0.250, 0.336)
Dy (0.914, 0.250, 0.664)
Mg (0.512, 0.012, 0.500)

Properties
Density of states at the Fermi level   9.86 states/eV/cell
Symmetry   No. 44
Size of the total moment   0.001 μB/cell
Formation energy   389 meV/atom
Total energy   -3.75 eV per atom
Energy above the most stable polymorph in this dataset   0.256 eV per atom

=====

Record 15
VASP calculation (PBE-GGA) on a geometry-optimized Sm5Dy6Mg structure.

abc: 9.393 9.393 9.393
angles: 148.90 115.18 73.63
Element x y z (fractional)
Sm (0.000, 0.000, 0.000)
Sm (0.166, 0.666, 0.500)
Sm (0.333, 0.333, 0.000)
Sm (0.667, 0.667, 0.000)
Sm (0.834, 0.334, 0.500)
Dy (0.086, 0.834, 0.252)
Dy (0.250, 0.500, 0.750)
Dy (0.419, 0.166, 0.252)
Dy (0.581, 0.834, 0.748)
Dy (0.750, 0.500, 0.250)
Dy (0.914, 0.166, 0.748)
Mg (0.500, 0.000, 0.500)

Properties
Density of states at the Fermi level   16.52 states/eV/cell
Symmetry   No. 71
Size of the total moment   0.000 μB/cell
Formation energy   20 meV/atom
Total energy   -4.38 eV per atom

=====

Record 16
VASP calculation (PBE-GGA) on a geometry-optimized Sm4Dy2Mg structure.

abc: 6.041 6.636 11.578
angles: 90.00 105.22 90.00
Element x y z (fractional)
Sm (0.020, 0.250, 0.376)
Sm (0.150, 0.250, 0.942)
Sm (0.359, 0.000, 0.215)
Sm (0.359, 0.500, 0.215)
Sm (0.641, 0.000, 0.785)
Sm (0.641, 0.500, 0.785)
Sm (0.850, 0.750, 0.058)
Sm (0.980, 0.750, 0.624)
Dy (0.280, 0.750, 0.924)
Dy (0.404, 0.750, 0.496)
Dy (0.596, 0.250, 0.504)
Dy (0.720, 0.250, 0.076)
Mg (0.145, 0.250, 0.665)
Mg (0.855, 0.750, 0.335)

Properties
Density of states at the Fermi level   19.35 states/eV/cell
Symmetry   No. 11
Size of the total moment   0.000 μB/cell
Formation energy   96 meV/atom
Total energy   -4.14 eV per atom
Energy above the most stable polymorph in this dataset   0.000 eV per atom

=====

Record 17
VASP calculation (PBE-GGA) on a geometry-optimized SmDyMg3 structure.

abc: 9.016 9.016 9.016
angles: 40.52 40.52 40.52
Element x y z (fractional)
Sm (0.068, 0.068, 0.068)
Sm (0.932, 0.932, 0.932)
Dy (0.335, 0.335, 0.335)
Dy (0.665, 0.665, 0.665)
Mg (0.111, 0.622, 0.622)
Mg (0.378, 0.378, 0.889)
Mg (0.378, 0.889, 0.378)
Mg (0.622, 0.111, 0.622)
Mg (0.622, 0.622, 0.111)
Mg (0.889, 0.378, 0.378)

Properties
Density of states at the Fermi level   10.83 states/eV/cell
Symmetry   No. 166
Size of the total moment   0.791 μB/cell
Formation energy   18 meV/atom
Total energy   -2.80 eV per atom
Energy above the most stable polymorph in this dataset   0.000 eV per atom

=====

Record 18
VASP calculation (PBE-GGA) on a geometry-optimized SmDy6Mg structure.

abc: 6.332 6.333 6.337
angles: 95.10 95.15 95.20
Element x y z (fractional)
Sm (0.000, 0.000, 0.000)
Dy (0.036, 0.546, 0.258)
Dy (0.258, 0.036, 0.546)
Dy (0.454, 0.742, 0.964)
Dy (0.546, 0.258, 0.036)
Dy (0.742, 0.964, 0.454)
Dy (0.964, 0.454, 0.742)
Mg (0.500, 0.500, 0.500)

Properties
Density of states at the Fermi level   11.88 states/eV/cell
Symmetry   No. 2
Size of the total moment   0.000 μB/cell
Formation energy   130 meV/atom
Total energy   -4.11 eV per atom
Energy above the most stable polymorph in this dataset   0.103 eV per atom

=====

Record 19
VASP calculation (PBE-GGA) on a geometry-optimized SmDy2Mg3 structure.

abc: 3.805 3.805 11.435
angles: 90.00 90.00 90.00
Element x y z (fractional)
Sm (0.000, 0.000, 0.000)
Dy (0.000, 0.000, 0.336)
Dy (0.000, 0.000, 0.664)
Mg (0.500, 0.500, 0.172)
Mg (0.500, 0.500, 0.500)
Mg (0.500, 0.500, 0.828)

Properties
Density of states at the Fermi level   7.86 states/eV/cell
Symmetry   No. 123
Size of the total moment   0.000 μB/cell
Formation energy   -86 meV/atom
Total energy   -3.20 eV per atom

=====

Record 20
VASP calculation (PBE-GGA) on a geometry-optimized SmDy2Mg4 structure.

abc: 8.230 8.230 8.230
angles: 141.86 141.86 55.04
Element x y z (fractional)
Sm (0.000, 0.000, 0.000)
Dy (0.251, 0.251, 0.000)
Dy (0.749, 0.749, 0.000)
Mg (0.119, 0.619, 0.500)
Mg (0.381, 0.881, 0.500)
Mg (0.619, 0.119, 0.500)
Mg (0.881, 0.381, 0.500)

Properties
Density of states at the Fermi level   6.11 states/eV/cell
Symmetry   No. 139
Size of the total moment   0.312 μB/cell
Formation energy   136 meV/atom
Total energy   -2.76 eV per atom
Energy above the most stable polymorph in this dataset   0.000 eV per atom

=====

Record 21
VASP calculation (PBE-GGA) on a geometry-optimized Sm7Dy4Mg structure.

abc: 6.259 6.259 13.142
angles: 104.12 104.12 52.40
Element x y z (fractional)
Sm (0.000, 0.000, 0.000)
Sm (0.140, 0.140, 0.469)
Sm (0.275, 0.275, 0.102)
Sm (0.337, 0.337, 0.745)
Sm (0.663, 0.663, 0.255)
Sm (0.725, 0.725, 0.898)
Sm (0.860, 0.860, 0.531)
Dy (0.043, 0.043, 0.779)
Dy (0.409, 0.409, 0.371)
Dy (0.591, 0.591, 0.629)
Dy (0.957, 0.957, 0.221)
Mg (0.500, 0.500, 0.000)

Properties
Density of states at the Fermi level   16.05 states/eV/cell
Symmetry   No. 12
Size of the total moment   0.000 μB/cell
Formation energy   206 meV/atom
Total energy   -4.21 eV per atom

=====

Record 22
VASP calculation (PBE-GGA) on a geometry-optimized Sm2Dy3Mg8 structure.

abc: 12.864 12.864 12.864
angles: 26.35 26.35 26.35
Element x y z (fractional)
Sm (0.139, 0.139, 0.139)
Sm (0.861, 0.861, 0.861)
Dy (0.316, 0.316, 0.316)
Dy (0.500, 0.500, 0.500)
Dy (0.684, 0.684, 0.684)
Mg (0.226, 0.226, 0.226)
Mg (0.229, 0.229, 0.728)
Mg (0.229, 0.728, 0.229)
Mg (0.272, 0.771, 0.771)
Mg (0.728, 0.229, 0.229)
Mg (0.771, 0.272, 0.771)
Mg (0.771, 0.771, 0.272)
Mg (0.774, 0.774, 0.774)

Properties
Density of states at the Fermi level   14.58 states/eV/cell
Symmetry   No. 166
Size of the total moment   0.006 μB/cell
Formation energy   117 meV/atom
Total energy   -2.65 eV per atom

=====

Record 23
VASP calculation (PBE-GGA) on a geometry-optimized Sm5Dy3Mg structure.

abc: 9.389 9.389 9.105
angles: 114.71 114.71 76.83
Element x y z (fractional)
Sm (0.051, 0.051, 0.350)
Sm (0.095, 0.569, 0.312)
Sm (0.244, 0.756, 0.000)
Sm (0.314, 0.314, 0.569)
Sm (0.431, 0.905, 0.688)
Sm (0.569, 0.095, 0.312)
Sm (0.686, 0.686, 0.431)
Sm (0.756, 0.244, 0.000)
Sm (0.905, 0.431, 0.688)
Sm (0.949, 0.949, 0.650)
Dy (0.142, 0.142, 0.090)
Dy (0.199, 0.199, 0.779)
Dy (0.500, 0.500, 0.000)
Dy (0.500, 0.500, 0.500)
Dy (0.801, 0.801, 0.221)
Dy (0.858, 0.858, 0.910)
Mg (0.366, 0.366, 0.140)
Mg (0.634, 0.634, 0.860)

Properties
Density of states at the Fermi level   25.95 states/eV/cell
Symmetry   No. 12
Size of the total moment   0.000 μB/cell
Formation energy   566 meV/atom
Total energy   -3.77 eV per atom